Compound: Fe2CoNi
Source: the Alexandria database
Functional: PBE-GGA
Structure: optimized geometry

formation energy	36	meV per atom
SG	No. 99
E	-7.417	eV per atom
volume	11.5	Å³/atom

Unit cell a=2.821 b=2.821 c=5.780 alpha=90.00 beta=90.00 gamma=90.00
Atoms (fractional coordinates):
Fe (0.000, 0.000, 0.000)
Fe (0.500, 0.500, 0.259)
Co (0.500, 0.500, 0.765)
Ni (0.000, 0.000, 0.504)

=====

Compound: LiY2Cr
Source: the Alexandria database
Functional: PBE-GGA
Structure: optimized geometry

formation energy	558	meV per atom
SG	No. 122
E	-5.558	eV per atom
volume	24.7	Å³/atom

Unit cell a=6.417 b=6.417 c=6.417 alpha=104.15 beta=104.15 gamma=120.74
Atoms (fractional coordinates):
Li (0.000, 0.000, 0.000)
Li (0.750, 0.250, 0.500)
Y (0.123, 0.625, 0.998)
Y (0.375, 0.373, 0.498)
Y (0.627, 0.125, 0.002)
Y (0.875, 0.877, 0.502)
Cr (0.250, 0.750, 0.500)
Cr (0.500, 0.500, 0.000)

=====

Compound: YOs2Br
Source: the Alexandria database
Functional: PBE-GGA
Structure: optimized geometry

SG	No. 25
E	-7.584	eV per atom
uncorrected formation energy	0.065	eV/atom
volume	23.1	Å³/atom

Unit cell a=3.121 b=3.687 c=8.028 alpha=90.00 beta=90.00 gamma=90.00
Atoms (fractional coordinates):
Y (0.000, 0.000, 0.000)
Os (0.000, 0.000, 0.648)
Os (0.500, 0.500, 0.748)
Br (0.500, 0.500, 0.222)

=====

Compound: SrSbPtI2
Source: the Alexandria database
Functional: PBE-GGA
Structure: optimized geometry

SG	No. 123
E	-2.383	eV per atom
uncorrected formation energy	0.606	eV/atom
volume	50.7	Å³/atom

Unit cell a=6.141 b=6.141 c=6.727 alpha=90.00 beta=90.00 gamma=90.00
Atoms (fractional coordinates):
Sr (0.000, 0.000, 0.000)
Sb (0.000, 0.000, 0.500)
Pt (0.500, 0.500, 0.500)
I (0.000, 0.500, 0.000)
I (0.500, 0.000, 0.000)

=====

Compound: CeSi2Hg
Source: the Alexandria database
Functional: PBE-GGA
Structure: optimized geometry

SG	No. 123
E	-4.506	eV per atom
uncorrected formation energy	-0.236	eV/atom
volume	20.6	Å³/atom

Unit cell a=4.484 b=4.484 c=4.097 alpha=90.00 beta=90.00 gamma=90.00
Atoms (fractional coordinates):
Ce (0.000, 0.000, 0.000)
Si (0.000, 0.500, 0.500)
Si (0.500, 0.000, 0.500)
Hg (0.500, 0.500, 0.000)

=====

Compound: TlSiIr2
Source: the Alexandria database
Functional: PBE-GGA
Structure: optimized geometry

SG	No. 99
E	-6.138	eV per atom
uncorrected formation energy	0.239	eV/atom
volume	17.5	Å³/atom

Unit cell a=3.310 b=3.310 c=6.402 alpha=90.00 beta=90.00 gamma=90.00
Atoms (fractional coordinates):
Tl (0.000, 0.000, 0.000)
Si (0.500, 0.500, 0.636)
Ir (0.000, 0.000, 0.549)
Ir (0.500, 0.500, 0.260)

=====

Compound: Rb3Pr3AlSe8
Source: the Alexandria database
Functional: PBE-GGA
Structure: optimized geometry

SG	No. 12
E	-4.671	eV per atom
uncorrected formation energy	-1.414	eV/atom
volume	34.4	Å³/atom

Unit cell a=8.512 b=8.512 c=9.594 alpha=116.38 beta=116.38 gamma=59.94
Atoms (fractional coordinates):
Rb (0.000, 0.000, 0.000)
Rb (0.000, 0.500, 0.000)
Rb (0.500, 0.000, 0.000)
Pr (0.000, 0.500, 0.500)
Pr (0.500, 0.000, 0.500)
Pr (0.500, 0.500, 0.500)
Al (0.000, 0.000, 0.500)
Se (0.210, 0.210, 0.684)
Se (0.210, 0.764, 0.684)
Se (0.236, 0.790, 0.316)
Se (0.265, 0.265, 0.296)
Se (0.735, 0.735, 0.704)
Se (0.764, 0.210, 0.684)
Se (0.790, 0.236, 0.316)
Se (0.790, 0.790, 0.316)

=====

Compound: YFeTc
Source: the Alexandria database
Functional: PBE-GGA
Structure: optimized geometry

formation energy	231	meV per atom
SG	No. 63
E	-8.199	eV per atom
volume	18.1	Å³/atom

Unit cell a=6.276 b=6.276 c=4.580 alpha=90.00 beta=90.00 gamma=142.92
Atoms (fractional coordinates):
Y (0.090, 0.910, 0.750)
Y (0.910, 0.090, 0.250)
Fe (0.241, 0.759, 0.250)
Fe (0.759, 0.241, 0.750)
Tc (0.371, 0.629, 0.750)
Tc (0.629, 0.371, 0.250)